# 1
Density functional theory data (PBE-GGA) for a relaxed Ba2Ca2Bi2I crystal.

The structure in extended XYZ format:
```
7
Lattice="5.6833 0.0000 0.0000 0.0000 5.6833 0.0000 -2.8416 -2.8416 9.2169" Properties=species:S:1:pos:R:3 pbc="T T T"
Ba 0.0000 0.0000 3.4374
Ba 2.8416 2.8416 5.7795
Ca 0.0000 2.8416 0.0000
Ca 2.8416 0.0000 0.0000
Bi 0.0000 0.0000 7.0073
Bi 2.8416 2.8416 2.2096
I 0.0000 0.0000 0.0000
```

Total energy in eV/cell: -22.40
SG: No. 139
Energy relative to the elements, uncorrected in eV per formula unit: -5.24
Crystal system: tetragonal
Fermi-level density of states in states/eV/f.u.: 5.230

***

# 2
Density functional theory data (PBE-GGA) for a relaxed Ba2CaInBi6 crystal.

The structure in extended XYZ format:
```
10
Lattice="-6.5378 -4.4994 -2.3888 2.3980 -6.1472 5.0156 -5.2480 -3.0145 5.6626" Properties=species:S:1:pos:R:3 pbc="T T T"
Ba -2.4600 -7.2425 5.9958
Ba -6.9279 -6.4186 2.2936
Ca -2.0699 -5.3233 1.3134
In 0.0000 0.0000 0.0000
Bi 0.1861 -5.7393 3.1827
Bi -8.3631 -11.0256 7.6391
Bi -3.6746 -4.1575 3.5094
Bi -4.3259 -4.9073 -0.5560
Bi -1.0248 -2.6355 0.6502
Bi -5.7132 -9.5036 4.7799
```

DFT formation energy in eV per atom: -0.115
Total energy in eV/cell: -33.02
SG: No. 225
Crystal system: cubic
Fermi-level density of states in states/eV/f.u.: 10.035